This record from Alexandria via LeMat-Bulk describes an optimized crystal structure of TlGe2Pb2Au7. The functional is GGA-PBE.

Properties
- Space-group type: No. 12
- Volume: 22.2 Å³ per atom
- Calculated total energy: -3.48 eV per atom

Unit cell a=4.712 b=4.712 c=12.407 alpha=93.53 beta=93.53 gamma=76.33
Positions (direct):
Tl  0.000  0.000  0.000
Ge  0.466  0.466  0.739
Ge  0.534  0.534  0.261
Pb  0.030  0.030  0.359
Pb  0.970  0.970  0.641
Au  0.020  0.517  0.163
Au  0.323  0.323  0.535
Au  0.483  0.980  0.837
Au  0.500  0.500  0.000
Au  0.517  0.020  0.163
Au  0.677  0.677  0.465
Au  0.980  0.483  0.837